## P
VASP calculation (PBE) on Cs2BSe3 after structural relaxation.

space-group type = Cmcm, No. 63

Cell: 7.4795 7.4795 10.0117 Å, 90.00 90.00 59.87°
Closest atoms and distances in Å follow each position.
Atoms (fractional coordinates):
Cs: 0.1666 0.1666 0.0000  6 Se 3.75-3.76
Cs: 0.1666 0.1666 0.5000  6 Se 3.75-3.76
Cs: 0.8334 0.8334 0.0000  6 Se 3.75-3.76
Cs: 0.8334 0.8334 0.5000  6 Se 3.75-3.76
B: 0.4986 0.5014 0.7500  3 Se 1.94-1.95
B: 0.5014 0.4986 0.2500  3 Se 1.94-1.95
Se: 0.2380 0.7620 0.7500  1 B 1.95
Se: 0.2412 0.4990 0.2500  1 B 1.94
Se: 0.4990 0.2412 0.7500  1 B 1.94
Se: 0.5010 0.7588 0.2500  1 B 1.94
Se: 0.7588 0.5010 0.7500  1 B 1.94
Se: 0.7620 0.2380 0.2500  1 B 1.95

***

## Q
VASP calculation (PBE) on Cs2BSe3 after structural relaxation.

space-group type = Fmmm, No. 69

Cell: 9.9629 9.4073 7.8906 Å, 69.70 62.33 47.97°
Closest atoms and distances in Å follow each position.
Atoms (fractional coordinates):
Cs: 0.2260 0.7740 0.7740  6 Se 3.65-3.99, 2 B 3.89
Cs: 0.2500 0.2500 0.2500  8 Se 3.67-4.01
Cs: 0.7500 0.7500 0.7500  8 Se 3.67-4.01
Cs: 0.7740 0.2260 0.2260  6 Se 3.65-3.99, 2 B 3.89
B: 0.3284 0.3284 0.6716  3 Se 1.94-1.96
B: 0.6716 0.6716 0.3284  3 Se 1.94-1.96
Se: 0.2060 0.2060 0.7940  1 B 1.94
Se: 0.2559 0.5318 0.4682  1 B 1.96
Se: 0.4682 0.7441 0.2559  1 B 1.96
Se: 0.5318 0.2559 0.7441  1 B 1.96
Se: 0.7441 0.4682 0.5318  1 B 1.96
Se: 0.7940 0.7940 0.2060  1 B 1.94

***

Least stable = P

***

## P
VASP calculation (PBE) on CsBSe4 after structural relaxation.

space-group type = C2/m, No. 12

Cell: 8.0057 8.0057 8.8511 Å, 105.92 105.92 54.67°
Closest atoms and distances in Å follow each position.
Atoms (fractional coordinates):
Cs: 0.1729 0.1729 0.3239  9 Se 3.74-4.09, 2 B 4.18
Cs: 0.8271 0.8271 0.6761  9 Se 3.74-4.09, 2 B 4.18
B: 0.4092 0.4092 0.9045  3 Se 1.88-2.02
B: 0.5908 0.5908 0.0955  3 Se 1.88-2.02
Se: 0.2573 0.6444 0.3751  1 Se 2.22
Se: 0.2786 0.2786 0.7665  1 B 1.88
Se: 0.2915 0.7085 0.0000  2 B 2.02
Se: 0.3556 0.7427 0.6249  1 Se 2.22
Se: 0.6444 0.2573 0.3751  1 Se 2.22
Se: 0.7085 0.2915 0.0000  2 B 2.02
Se: 0.7214 0.7214 0.2335  1 B 1.88
Se: 0.7427 0.3556 0.6249  1 Se 2.22

***

## Q
VASP calculation (PBE) on CsBSe4 after structural relaxation.

space-group type = P-1, No. 2

Cell: 6.9011 7.2523 11.1271 Å, 95.21 96.33 109.66°
Closest atoms and distances in Å follow each position.
Atoms (fractional coordinates):
Cs: 0.0586 0.2500 0.3499  6 Se 3.70-4.02
Cs: 0.9414 0.7500 0.6501  6 Se 3.70-4.02
B: 0.5000 0.0000 0.5000  2 Se 1.82
B: 0.5000 0.5000 0.0000  2 Se 1.86
Se: 0.0655 0.2921 0.6972  1 Se 2.32
Se: 0.4224 0.4025 0.7599  2 Se 2.32-2.56
Se: 0.4589 0.9757 0.3344  1 B 1.82
Se: 0.4763 0.2861 0.0849  1 B 1.86
Se: 0.5237 0.7139 0.9151  1 B 1.86
Se: 0.5411 0.0243 0.6656  1 B 1.82
Se: 0.5776 0.5975 0.2401  2 Se 2.32-2.56
Se: 0.9345 0.7079 0.3028  1 Se 2.32

***

Least stable = Q

***

## P
VASP calculation (PBE) on CsSi3B after structural relaxation.

space-group type = Pm-3m, No. 221

Cell: 4.6430 4.6430 4.6430 Å, 90.00 90.00 90.00°
Closest atoms and distances in Å follow each position.
Atoms (fractional coordinates):
Cs: 0.0000 0.0000 0.0000  12 Si 3.28
Si: 0.0000 0.5000 0.5000  2 B 2.32
Si: 0.5000 0.0000 0.5000  2 B 2.32
Si: 0.5000 0.5000 0.0000  2 B 2.32
B: 0.5000 0.5000 0.5000  6 Si 2.32

***

## Q
VASP calculation (PBE) on CsSi3B after structural relaxation.

space-group type = Pm-3m, No. 221

Cell: 5.6349 5.6349 5.6349 Å, 90.00 90.00 90.00°
Closest atoms and distances in Å follow each position.
Atoms (fractional coordinates):
Cs: 0.0000 0.0000 0.0000  6 Si 2.82
Si: 0.0000 0.0000 0.5000  2 Cs 2.82
Si: 0.0000 0.5000 0.0000  2 Cs 2.82
Si: 0.5000 0.0000 0.0000  2 Cs 2.82
B: 0.5000 0.5000 0.5000  12 Si 3.98

***

Least stable = Q

***

## P
VASP calculation (PBE) on CsSn3B after structural relaxation.

space-group type = Pm-3m, No. 221

Cell: 5.2281 5.2281 5.2281 Å, 90.00 90.00 90.00°
Closest atoms and distances in Å follow each position.
Atoms (fractional coordinates):
Cs: 0.0000 0.0000 0.0000  12 Sn 3.70
Sn: 0.0000 0.5000 0.5000  2 B 2.61
Sn: 0.5000 0.0000 0.5000  2 B 2.61
Sn: 0.5000 0.5000 0.0000  2 B 2.61
B: 0.5000 0.5000 0.5000  6 Sn 2.61

***

## Q
VASP calculation (PBE) on CsSn3B after structural relaxation.

space-group type = Pm-3m, No. 221

Cell: 6.2540 6.2540 6.2540 Å, 90.00 90.00 90.00°
Closest atoms and distances in Å follow each position.
Atoms (fractional coordinates):
Cs: 0.0000 0.0000 0.0000  6 Sn 3.13
Sn: 0.0000 0.0000 0.5000  2 Cs 3.13
Sn: 0.0000 0.5000 0.0000  2 Cs 3.13
Sn: 0.5000 0.0000 0.0000  2 Cs 3.13
B: 0.5000 0.5000 0.5000  12 Sn 4.42

***

Least stable = Q

***

## P
VASP calculation (PBE) on Cs2SnB after structural relaxation.

space-group type = I-42d, No. 122

Cell: 10.1316 10.1316 10.1316 Å, 92.62 92.62 155.32°
Closest atoms and distances in Å follow each position.
Atoms (fractional coordinates):
Cs: 0.3750 0.0908 0.2158  2 B 3.57, 2 Sn 3.89
Cs: 0.8408 0.6250 0.7158  2 B 3.57, 2 Sn 3.89
Cs: 0.8750 0.1592 0.7842  2 B 3.57, 2 Sn 3.89
Cs: 0.9092 0.1250 0.2842  2 B 3.57, 2 Sn 3.89
Sn: 0.2500 0.7500 0.5000  2 B 2.16
Sn: 0.5000 0.5000 0.0000  2 B 2.16
B: 0.0000 0.0000 0.0000  2 Sn 2.16
B: 0.7500 0.2500 0.5000  2 Sn 2.16

***

## Q
VASP calculation (PBE) on Cs2SnB after structural relaxation.

space-group type = Fm-3m, No. 225

Cell: 6.2611 6.2611 6.2611 Å, 60.00 60.00 60.00°
Closest atoms and distances in Å follow each position.
Atoms (fractional coordinates):
Cs: 0.2500 0.2500 0.2500  4 Sn 3.83, 4 B 3.83
Cs: 0.7500 0.7500 0.7500  4 Sn 3.83, 4 B 3.83
Sn: 0.0000 0.0000 0.0000  8 Cs 3.83
B: 0.5000 0.5000 0.5000  8 Cs 3.83

***

Least stable = Q

***

## P
VASP calculation (PBE) on CsTiB3 after structural relaxation.

space-group type = Pm-3m, No. 221

Cell: 4.6196 4.6196 4.6196 Å, 90.00 90.00 90.00°
Closest atoms and distances in Å follow each position.
Atoms (fractional coordinates):
Cs: 0.0000 0.0000 0.0000  12 B 3.27
Ti: 0.5000 0.5000 0.5000  6 B 2.31
B: 0.0000 0.5000 0.5000  2 Ti 2.31
B: 0.5000 0.0000 0.5000  2 Ti 2.31
B: 0.5000 0.5000 0.0000  2 Ti 2.31

***

## Q
VASP calculation (PBE) on CsTiB3 after structural relaxation.

space-group type = Pm-3m, No. 221

Cell: 4.5239 4.5239 4.5239 Å, 90.00 90.00 90.00°
Closest atoms and distances in Å follow each position.
Atoms (fractional coordinates):
Cs: 0.0000 0.0000 0.0000  6 B 2.26
Ti: 0.5000 0.5000 0.5000  12 B 3.20
B: 0.0000 0.0000 0.5000  2 Cs 2.26
B: 0.0000 0.5000 0.0000  2 Cs 2.26
B: 0.5000 0.0000 0.0000  2 Cs 2.26

***

Least stable = Q

***

## P
VASP calculation (PBE) on CsTl2B after structural relaxation.

space-group type = I4_1/amd, No. 141

Cell: 7.4173 7.4173 7.4173 Å, 119.55 119.55 90.79°
Closest atoms and distances in Å follow each position.
Atoms (fractional coordinates):
Cs: 0.3750 0.6250 0.7500  12 Tl 4.33-4.37, 4 B 4.55, 4 Cs 4.55
Cs: 0.6250 0.3750 0.2500  12 Tl 4.33-4.37, 4 B 4.55, 4 Cs 4.55
Tl: 0.0000 0.0000 0.0000  2 B 2.28
Tl: 0.0000 0.0000 0.5000  2 B 2.28
Tl: 0.0000 0.5000 0.0000  2 B 2.28
Tl: 0.5000 0.0000 0.5000  2 B 2.28
B: 0.1250 0.8750 0.2500  4 Tl 2.28
B: 0.8750 0.1250 0.7500  4 Tl 2.28

***

## Q
VASP calculation (PBE) on CsTl2B after structural relaxation.

space-group type = Fm-3m, No. 225

Cell: 5.5956 5.5956 5.5956 Å, 60.00 60.00 60.00°
Closest atoms and distances in Å follow each position.
Atoms (fractional coordinates):
Cs: 0.0000 0.0000 0.0000  8 Tl 3.43
Tl: 0.2500 0.2500 0.2500  4 B 3.43, 4 Cs 3.43
Tl: 0.7500 0.7500 0.7500  4 B 3.43, 4 Cs 3.43
B: 0.5000 0.5000 0.5000  8 Tl 3.43

***

Least stable = Q

***

## P
VASP calculation (PBE) on Cs2TlB after structural relaxation.

space-group type = I-42d, No. 122

Cell: 10.1587 10.1587 10.1587 Å, 92.52 92.52 155.79°
Closest atoms and distances in Å follow each position.
Atoms (fractional coordinates):
Cs: 0.3750 0.1713 0.2963  2 B 3.61, 2 Tl 3.91
Cs: 0.8287 0.1250 0.2037  2 B 3.61, 2 Tl 3.91
Cs: 0.8750 0.0787 0.7037  2 B 3.61, 2 Tl 3.91
Cs: 0.9213 0.6250 0.7963  2 B 3.61, 2 Tl 3.91
Tl: 0.2500 0.7500 0.5000  2 B 2.13
Tl: 0.5000 0.5000 0.0000  2 B 2.13
B: 0.0000 0.0000 0.0000  2 Tl 2.13
B: 0.7500 0.2500 0.5000  2 Tl 2.13

***

## Q
VASP calculation (PBE) on Cs2TlB after structural relaxation.

space-group type = Fm-3m, No. 225

Cell: 6.1329 6.1329 6.1329 Å, 60.00 60.00 60.00°
Closest atoms and distances in Å follow each position.
Atoms (fractional coordinates):
Cs: 0.2500 0.2500 0.2500  4 B 3.76, 4 Tl 3.76
Cs: 0.7500 0.7500 0.7500  4 B 3.76, 4 Tl 3.76
Tl: 0.0000 0.0000 0.0000  8 Cs 3.76
B: 0.5000 0.5000 0.5000  8 Cs 3.76

***

Least stable = Q